## HoHf2As3 (PBE-GGA)

Data for a relaxed structure of HoHf2As3.

Cell lengths 3.9135, 3.9135, 9.5324 Å; angles 90.00, 90.00, 120.00 degrees
Fractional coordinates of all 6 atoms:
Ho1 0.0000 0.0000 0.0000
Hf1 0.3333 0.6667 0.3436
Hf2 0.6667 0.3333 0.6564
As1 0.0000 0.0000 0.5000
As2 0.3333 0.6667 0.8188
As3 0.6667 0.3333 0.1812

* VASP energy: -45.31 eV per formula unit
* space group: P-3m1 (164)
* M_tot: 0.0 μB/f.u.